An optimized crystal structure of V2CrHgO8, computed with GGA+U.

```
12
Lattice="-3.451 3.451 3.149 3.451 -3.451 3.149 3.451 3.451 -3.149" Properties=species:S:1:pos:R:3 pbc="T T T"
V 0.000 0.000 0.000
V 0.000 3.451 1.575
Cr 3.451 0.000 1.575
Hg 0.000 0.000 3.149
O 3.451 -2.003 2.151
O 3.451 1.244 -0.357
O 1.449 0.000 0.998
O 5.454 0.000 0.998
O 1.244 3.451 0.357
O 2.207 0.000 3.507
O 3.451 2.003 2.151
O 0.000 2.207 2.792
```

As for the raw total energy: -77.36 eV per cell. The space-group type is No. 119. The calculated volume is 150.1 Å³/cell.